(1)
# Ba2AgCl

An optimized crystal structure of Ba2AgCl (PBE-GGA, the Alexandria database).

Space-group type   F-43m (216)
ΔE to the lowest computed polymorph   695 meV/atom
E_form (uncorrected)   -0.31 eV per atom

```
4
Lattice="0.000 4.053 4.053 4.053 0.000 4.053 4.053 4.053 0.000" Properties=species:S:1:pos:R:3 pbc="T T T"
Ba 0.000 0.000 0.000
Ba 2.026 2.026 2.026
Ag 4.053 4.053 4.053
Cl 6.079 6.079 6.079
```


(2)
# Ba2AgCl

An optimized crystal structure of Ba2AgCl (PBE-GGA, the Alexandria database).

Space-group type   I-42d (122)
ΔE to the lowest computed polymorph   127 meV/atom
E_form (uncorrected)   -0.88 eV per atom

```
8
Lattice="-4.251 4.251 4.698 4.251 -4.251 4.698 4.251 4.251 -4.698" Properties=species:S:1:pos:R:3 pbc="T T T"
Ba 2.126 2.015 -1.175
Ba 2.236 -2.126 5.873
Ba 2.126 2.236 3.524
Ba 2.015 6.377 1.175
Ag 4.251 0.000 2.349
Ag 0.000 0.000 4.698
Cl 0.000 0.000 0.000
Cl 0.000 4.251 2.349
```


(3)
# BaAg6Cl12

An optimized crystal structure of BaAg6Cl12 (PBE-GGA, the Alexandria database).

Space-group type   Im-3 (204)
ΔE to the lowest computed polymorph   136 meV/atom
E_form (uncorrected)   -0.57 eV per atom

```
19
Lattice="-4.946 4.946 4.946 4.946 -4.946 4.946 4.946 4.946 -4.946" Properties=species:S:1:pos:R:3 pbc="T T T"
Ba 0.000 0.000 0.000
Ag 4.946 1.531 0.000
Ag 4.946 0.000 3.415
Ag 3.415 4.946 0.000
Ag 1.531 0.000 4.946
Ag 0.000 4.946 1.531
Ag 0.000 3.415 4.946
Cl 3.209 0.000 1.567
Cl 6.683 0.000 1.567
Cl 4.946 3.379 -1.737
Cl 1.567 3.209 0.000
Cl 3.379 -1.737 4.946
Cl 0.000 1.567 3.209
Cl 4.946 3.379 1.737
Cl 1.567 6.683 0.000
Cl 3.379 1.737 4.946
Cl 0.000 1.567 6.683
Cl -1.737 4.946 3.379
Cl 1.737 4.946 3.379
```


(4)
# BaAg6Cl12

An optimized crystal structure of BaAg6Cl12 (PBE-GGA, the Alexandria database).

Space-group type   R-3 (148)
ΔE to the lowest computed polymorph   0 meV/atom
E_form (uncorrected)   -0.70 eV per atom

```
19
Lattice="7.323 4.228 2.710 -7.323 4.228 2.710 0.000 -8.455 2.710" Properties=species:S:1:pos:R:3 pbc="T T T"
Ba 0.000 0.000 0.000
Ag -3.617 -2.015 4.695
Ag -0.064 -4.140 3.435
Ag -3.554 2.125 3.435
Ag 3.554 -2.125 4.695
Ag 0.064 4.140 4.695
Ag 3.617 2.015 3.435
Cl -6.017 1.457 3.590
Cl -4.270 -4.483 4.539
Cl -1.743 -2.321 3.040
Cl 1.747 -5.939 3.590
Cl -1.138 2.670 3.040
Cl -2.881 0.350 5.089
Cl 2.881 -0.350 3.040
Cl 1.138 -2.670 5.089
Cl -1.747 5.939 4.539
Cl 1.743 2.321 5.089
Cl 4.270 4.483 3.590
Cl 6.017 -1.457 4.539
```


(5)
# BaAg4Cl12

An optimized crystal structure of BaAg4Cl12 (PBE-GGA, the Alexandria database).

Space-group type   Im-3 (204)
E_form (uncorrected)   -0.63 eV per atom

```
17
Lattice="-4.885 4.885 4.885 4.885 -4.885 4.885 4.885 4.885 -4.885" Properties=species:S:1:pos:R:3 pbc="T T T"
Ba 0.000 0.000 0.000
Ag 2.443 2.443 -2.443
Ag 2.443 -2.443 2.443
Ag -2.443 2.443 2.443
Ag 2.443 2.443 2.443
Cl 4.885 3.025 -2.089
Cl 2.796 0.000 1.860
Cl 6.974 0.000 1.860
Cl 1.860 2.796 0.000
Cl 3.025 -2.089 4.885
Cl 0.000 1.860 2.796
Cl 4.885 3.025 2.089
Cl 1.860 6.974 0.000
Cl 3.025 2.089 4.885
Cl -2.089 4.885 3.025
Cl 2.089 4.885 3.025
Cl 0.000 1.860 6.974
```


(6)
# Ba2AgCl6

An optimized crystal structure of Ba2AgCl6 (PBE-GGA, the Alexandria database).

Space-group type   P2_1/c (14)
ΔE to the lowest computed polymorph   0 meV/atom
E_form (uncorrected)   -1.80 eV per atom

```
18
Lattice="6.611 0.000 0.000 0.000 8.553 0.000 -6.456 0.000 9.599" Properties=species:S:1:pos:R:3 pbc="T T T"
Ba -0.303 1.017 2.538
Ba -3.532 3.259 7.337
Ba 3.686 5.294 2.262
Ba 0.458 7.536 7.061
Ag 3.305 0.000 0.000
Ag 0.077 4.277 4.799
Cl -5.294 1.272 9.148
Cl -2.065 3.004 4.348
Cl -4.244 5.798 9.042
Cl -1.016 7.032 4.243
Cl -2.543 0.194 7.210
Cl 0.685 4.082 2.411
Cl -0.531 4.471 7.188
Cl 2.697 8.359 2.389
Cl 1.170 1.521 5.356
Cl 4.398 2.755 0.557
Cl 2.220 5.549 5.251
Cl 5.448 7.281 0.451
```


(7)
# BaCo2AgCl8

An optimized crystal structure of BaCo2AgCl8 (PBE-GGA, the Alexandria database).

Space-group type   P-3m1 (164)
E_form (uncorrected)   -0.99 eV per atom

```
12
Lattice="7.174 0.000 0.000 -3.587 6.213 0.000 0.000 0.000 8.651" Properties=species:S:1:pos:R:3 pbc="T T T"
Ba 0.000 0.000 0.000
Co 0.000 4.142 1.777
Co 3.587 2.071 6.874
Ag 0.000 0.000 4.326
Cl 0.000 2.027 2.468
Cl -1.832 5.200 2.468
Cl 1.755 1.013 6.184
Cl 0.000 4.142 8.246
Cl 3.587 2.071 0.405
Cl 1.832 5.200 2.468
Cl 5.419 1.013 6.184
Cl 3.587 4.186 6.184
```


(8)
# BaCrAg2Cl8

An optimized crystal structure of BaCrAg2Cl8 (PBE-GGA, the Alexandria database).

Space-group type   P-1 (2)
E_form (uncorrected)   -1.12 eV per atom

```
12
Lattice="6.416 0.000 0.000 0.791 6.460 0.000 2.351 0.041 7.527" Properties=species:S:1:pos:R:3 pbc="T T T"
Ba 0.000 0.000 0.000
Cr 4.384 0.020 3.763
Ag 4.103 3.520 1.835
Ag 5.456 2.981 5.692
Cl 3.219 5.534 4.588
Cl 1.921 3.446 0.493
Cl 3.465 2.150 4.042
Cl 4.330 6.346 1.569
Cl 5.228 0.155 5.958
Cl 6.093 4.350 3.484
Cl 7.637 3.054 7.033
Cl 6.340 0.967 2.939
```


(9)
# BaCrAgCl6

An optimized crystal structure of BaCrAgCl6 (PBE-GGA, the Alexandria database).

Space-group type   P-31c (163)
E_form (uncorrected)   -1.37 eV per atom

```
18
Lattice="7.106 0.000 0.000 -3.553 6.154 0.000 0.000 0.000 11.098" Properties=species:S:1:pos:R:3 pbc="T T T"
Ba 0.000 4.103 2.774
Ba 3.553 2.051 8.323
Cr 0.000 4.103 8.323
Cr 3.553 2.051 2.774
Ag 0.000 0.000 0.000
Ag 0.000 0.000 5.549
Cl -0.838 2.367 6.918
Cl -1.922 4.245 9.728
Cl 0.838 2.367 9.728
Cl -1.085 5.696 6.918
Cl 2.468 0.458 1.369
Cl 1.631 1.909 4.179
Cl 1.922 4.245 6.918
Cl 1.085 5.696 9.728
Cl 4.638 0.458 4.179
Cl 2.715 3.787 1.369
Cl 5.475 1.909 1.369
Cl 4.391 3.787 4.179
```


(10)
# Cs2BaAg2Cl7

An optimized crystal structure of Cs2BaAg2Cl7 (PBE-GGA, the Alexandria database).

Space-group type   I4/mmm (139)
E_form (uncorrected)   -1.47 eV per atom

```
12
Lattice="-2.629 2.629 13.525 2.629 -2.629 13.525 2.629 2.629 -13.525" Properties=species:S:1:pos:R:3 pbc="T T T"
Cs 0.000 0.000 4.851
Cs 0.000 0.000 22.200
Ba 0.000 0.000 0.000
Ag 0.000 0.000 10.930
Ag 0.000 0.000 16.120
Cl 2.629 0.000 2.200
Cl 0.000 0.000 8.344
Cl 2.629 0.000 11.326
Cl 0.000 0.000 13.525
Cl 0.000 2.629 2.200
Cl 0.000 0.000 18.706
Cl 0.000 2.629 11.326
```


What did the first record say?
# Ba2AgCl

An optimized crystal structure of Ba2AgCl (PBE-GGA, the Alexandria database).

Space-group type   F-43m (216)
ΔE to the lowest computed polymorph   695 meV/atom
E_form (uncorrected)   -0.31 eV per atom

```
4
Lattice="0.000 4.053 4.053 4.053 0.000 4.053 4.053 4.053 0.000" Properties=species:S:1:pos:R:3 pbc="T T T"
Ba 0.000 0.000 0.000
Ba 2.026 2.026 2.026
Ag 4.053 4.053 4.053
Cl 6.079 6.079 6.079
```


- What is the formula in the third record?
  BaAg6Cl12


- Which of these has the lowest E_form (uncorrected)?
  Ba2AgCl6